No. 1
DFT (PBE) results for a geometry-optimized SnN3O structure.

Its formation energy from raw total energies is 2.430 eV/atom. The value obtained for the density of states at the Fermi level is 4.62 states/eV/cell.

It has space group Pm-3m (No. 221), with a = 4.2021 Å, b = 4.2021 Å, c = 4.2021 Å, α = 90.00°, β = 90.00° and γ = 90.00°. The inequivalent atoms are Sn at (0.0000, 0.0000, 0.0000), N at (0.0000, 0.0000, 0.5000) and O at (0.5000, 0.5000, 0.5000).


No. 2
DFT (PBE) results for a geometry-optimized Sn2NO structure.

Its formation energy from raw total energies is -0.104 eV/atom. For the relative energy among the computed polymorphs, the calculation gives 0 meV per atom. The value obtained for the density of states at the Fermi level is 6.27 states/eV/cell.

It has space group I-42d (No. 122), with a = 5.3405 Å, b = 5.3405 Å, c = 10.4758 Å, α = 90.00°, β = 90.00° and γ = 90.00°. The inequivalent atoms are Sn at (0.2421, 0.2500, 0.1250), N at (0.0000, 0.0000, 0.0000) and O at (0.0000, 0.0000, 0.5000).


No. 3
DFT (PBE) results for a geometry-optimized Sn2NO structure.

Its formation energy from raw total energies is 0.362 eV/atom. For the relative energy among the computed polymorphs, the calculation gives 466 meV per atom. The value obtained for the density of states at the Fermi level is 10.28 states/eV/cell.

It has space group Fm-3m (No. 225), with a = 6.1838 Å, b = 6.1838 Å, c = 6.1838 Å, α = 90.00°, β = 90.00° and γ = 90.00°. The inequivalent atoms are Sn at (0.2500, 0.2500, 0.2500), N at (0.0000, 0.0000, 0.0000) and O at (0.0000, 0.0000, 0.5000).


No. 4
DFT (PBE) results for a geometry-optimized SrSnN2O structure.

Its formation energy from raw total energies is -0.256 eV/atom. The value obtained for the density of states at the Fermi level is 4.07 states/eV/cell.

It has space group P4/mmm (No. 123), with a = 4.2012 Å, b = 4.2012 Å, c = 4.2411 Å, α = 90.00°, β = 90.00° and γ = 90.00°. The inequivalent atoms are Sr at (0.0000, 0.0000, 0.0000), Sn at (0.5000, 0.5000, 0.5000), N at (0.0000, 0.5000, 0.5000) and O at (0.5000, 0.5000, 0.0000).